! PBE TcSbRu2, relaxed; values from VASP
&SYSTEM
  ibrav = 0, nat = 4, ntyp = 3
/
ATOMIC_SPECIES
Tc 98.00 Tc.upf
Sb 121.76 Sb.upf
Ru 101.07 Ru.upf
ATOMIC_POSITIONS angstrom
Tc 0.0000 0.0000 0.0000
Sb 4.7272 4.7272 4.7272
Ru 1.5757 1.5757 1.5757
Ru 3.1514 3.1514 3.1514
CELL_PARAMETERS angstrom
0.0000 3.1514 3.1514
3.1514 0.0000 3.1514
3.1514 3.1514 0.0000
! - Space-group type: F-43m (216)
! - Calculated volume: 15.649 Å³ per atom
! - Total DFT energy (no corrections): -7.99 eV/atom